Record 1
# Cs3V2Te4

A geometry-optimized Cs3V2Te4 structure (PBE, Alexandria via LeMat-Bulk).

Cell: 10.203 10.203 7.917 Å, 95.96 95.96 72.43°
Fractional coordinates of all 18 atoms:
1 Cs 0.088 0.912 0.750
2 Cs 0.241 0.512 0.451
3 Cs 0.488 0.759 0.049
4 Cs 0.512 0.241 0.951
5 Cs 0.759 0.488 0.549
6 Cs 0.912 0.088 0.250
7 V 0.091 0.342 0.943
8 V 0.342 0.091 0.443
9 V 0.658 0.909 0.557
10 V 0.909 0.658 0.057
11 Te 0.131 0.238 0.623
12 Te 0.174 0.571 0.975
13 Te 0.238 0.131 0.123
14 Te 0.429 0.826 0.525
15 Te 0.571 0.174 0.475
16 Te 0.762 0.869 0.877
17 Te 0.826 0.429 0.025
18 Te 0.869 0.762 0.377

## Properties
Volume = 43.3 Å³/atom
Uncorrected formation energy = -0.6558 eV per atom

Record 2
# Cs3VTe3

A geometry-optimized Cs3VTe3 structure (PBE, Alexandria via LeMat-Bulk).

Cell: 9.263 14.910 12.231 Å, 90.00 126.97 90.00°
Fractional coordinates of all 28 atoms:
1 Cs 0.119 0.130 0.480
2 Cs 0.119 0.370 0.980
3 Cs 0.141 0.072 0.888
4 Cs 0.141 0.428 0.388
5 Cs 0.374 0.694 0.593
6 Cs 0.374 0.806 0.093
7 Cs 0.626 0.194 0.907
8 Cs 0.626 0.306 0.407
9 Cs 0.859 0.572 0.612
10 Cs 0.859 0.928 0.112
11 Cs 0.881 0.630 0.020
12 Cs 0.881 0.870 0.520
13 V 0.434 0.057 0.341
14 V 0.434 0.443 0.841
15 V 0.566 0.557 0.159
16 V 0.566 0.943 0.659
17 Te 0.150 0.164 0.189
18 Te 0.150 0.336 0.689
19 Te 0.364 0.605 0.893
20 Te 0.364 0.895 0.393
21 Te 0.386 0.552 0.261
22 Te 0.386 0.948 0.761
23 Te 0.614 0.052 0.239
24 Te 0.614 0.448 0.739
25 Te 0.636 0.105 0.607
26 Te 0.636 0.395 0.107
27 Te 0.850 0.664 0.311
28 Te 0.850 0.836 0.811

## Properties
Volume = 48.2 Å³/atom
Uncorrected formation energy = -0.8116 eV per atom

Record 3
# CsV4Te8

A geometry-optimized CsV4Te8 structure (PBE, Alexandria via LeMat-Bulk).

Cell: 10.764 10.764 10.764 Å, 40.76 40.76 40.76°
Fractional coordinates of all 13 atoms:
1 Cs 0.000 0.000 0.000
2 V 0.000 0.000 0.500
3 V 0.000 0.500 0.000
4 V 0.500 0.000 0.000
5 V 0.500 0.500 0.500
6 Te 0.223 0.223 0.223
7 Te 0.224 0.722 0.722
8 Te 0.278 0.278 0.776
9 Te 0.278 0.776 0.278
10 Te 0.722 0.224 0.722
11 Te 0.722 0.722 0.224
12 Te 0.776 0.278 0.278
13 Te 0.777 0.777 0.777

## Properties
Volume = 36.9 Å³/atom
Uncorrected formation energy = -0.4280 eV per atom

Record 4
# Cs3VTe4

A geometry-optimized Cs3VTe4 structure (PBE, Alexandria via LeMat-Bulk).

Cell: 10.910 12.719 10.916 Å, 90.00 90.00 90.00°
Fractional coordinates of all 32 atoms:
1 Cs 0.045 0.043 0.204
2 Cs 0.045 0.457 0.204
3 Cs 0.143 0.750 0.406
4 Cs 0.357 0.250 0.906
5 Cs 0.455 0.543 0.704
6 Cs 0.455 0.957 0.704
7 Cs 0.545 0.043 0.296
8 Cs 0.545 0.457 0.296
9 Cs 0.643 0.750 0.094
10 Cs 0.857 0.250 0.594
11 Cs 0.955 0.543 0.796
12 Cs 0.955 0.957 0.796
13 V 0.221 0.750 0.980
14 V 0.279 0.250 0.480
15 V 0.721 0.750 0.520
16 V 0.779 0.250 0.020
17 Te 0.007 0.750 0.069
18 Te 0.168 0.087 0.547
19 Te 0.168 0.413 0.547
20 Te 0.208 0.750 0.751
21 Te 0.292 0.250 0.251
22 Te 0.332 0.587 0.047
23 Te 0.332 0.913 0.047
24 Te 0.493 0.250 0.569
25 Te 0.507 0.750 0.431
26 Te 0.668 0.087 0.953
27 Te 0.668 0.413 0.953
28 Te 0.708 0.750 0.749
29 Te 0.792 0.250 0.249
30 Te 0.832 0.587 0.453
31 Te 0.832 0.913 0.453
32 Te 0.993 0.250 0.931

## Properties
Volume = 47.3 Å³/atom
Uncorrected formation energy = -0.8190 eV per atom

Record 5
# Cs5V2Te6

A geometry-optimized Cs5V2Te6 structure (PBE, Alexandria via LeMat-Bulk).

Cell: 8.760 8.760 19.751 Å, 99.82 99.82 66.09°
Fractional coordinates of all 26 atoms:
1 Cs 0.132 0.868 0.750
2 Cs 0.186 0.712 0.002
3 Cs 0.246 0.434 0.277
4 Cs 0.288 0.814 0.498
5 Cs 0.434 0.246 0.777
6 Cs 0.566 0.754 0.223
7 Cs 0.712 0.186 0.502
8 Cs 0.754 0.566 0.723
9 Cs 0.814 0.288 0.998
10 Cs 0.868 0.132 0.250
11 V 0.128 0.414 0.570
12 V 0.414 0.128 0.070
13 V 0.586 0.872 0.930
14 V 0.872 0.586 0.430
15 Te 0.098 0.198 0.636
16 Te 0.141 0.304 0.438
17 Te 0.198 0.098 0.136
18 Te 0.304 0.141 0.938
19 Te 0.383 0.483 0.625
20 Te 0.483 0.383 0.125
21 Te 0.517 0.617 0.875
22 Te 0.617 0.517 0.375
23 Te 0.696 0.859 0.062
24 Te 0.802 0.902 0.864
25 Te 0.859 0.696 0.562
26 Te 0.902 0.802 0.364

## Properties
Volume = 52.2 Å³/atom
Uncorrected formation energy = -0.7848 eV per atom

Record 6
# Cs3V5Te12

A geometry-optimized Cs3V5Te12 structure (PBE, Alexandria via LeMat-Bulk).

Cell: 15.556 15.556 15.556 Å, 109.47 109.47 109.47°
Fractional coordinates of all 80 atoms:
1 Cs 0.125 0.250 0.375
2 Cs 0.125 0.375 0.750
3 Cs 0.250 0.375 0.125
4 Cs 0.250 0.875 0.625
5 Cs 0.375 0.125 0.250
6 Cs 0.375 0.750 0.125
7 Cs 0.625 0.250 0.875
8 Cs 0.625 0.875 0.750
9 Cs 0.750 0.125 0.375
10 Cs 0.750 0.625 0.875
11 Cs 0.875 0.625 0.250
12 Cs 0.875 0.750 0.625
13 V 0.000 0.000 0.000
14 V 0.000 0.000 0.500
15 V 0.000 0.500 0.000
16 V 0.000 0.500 0.500
17 V 0.125 0.750 0.875
18 V 0.125 0.875 0.250
19 V 0.250 0.125 0.875
20 V 0.250 0.625 0.375
21 V 0.375 0.250 0.625
22 V 0.375 0.625 0.750
23 V 0.500 0.000 0.000
24 V 0.500 0.000 0.500
25 V 0.500 0.500 0.000
26 V 0.500 0.500 0.500
27 V 0.625 0.375 0.250
28 V 0.625 0.750 0.375
29 V 0.750 0.375 0.625
30 V 0.750 0.875 0.125
31 V 0.875 0.125 0.750
32 V 0.875 0.250 0.125
33 Te 0.004 0.689 0.097
34 Te 0.004 0.814 0.906
35 Te 0.092 0.686 0.689
36 Te 0.092 0.906 0.403
37 Te 0.094 0.597 0.908
38 Te 0.094 0.996 0.186
39 Te 0.097 0.004 0.689
40 Te 0.097 0.594 0.408
41 Te 0.186 0.094 0.996
42 Te 0.186 0.592 0.189
43 Te 0.189 0.186 0.592
44 Te 0.189 0.504 0.597
45 Te 0.311 0.903 0.996
46 Te 0.311 0.908 0.314
47 Te 0.314 0.311 0.908
48 Te 0.314 0.504 0.406
49 Te 0.403 0.092 0.906
50 Te 0.403 0.811 0.496
51 Te 0.406 0.314 0.504
52 Te 0.406 0.592 0.903
53 Te 0.408 0.097 0.594
54 Te 0.408 0.811 0.814
55 Te 0.496 0.403 0.811
56 Te 0.496 0.594 0.686
57 Te 0.504 0.406 0.314
58 Te 0.504 0.597 0.189
59 Te 0.592 0.189 0.186
60 Te 0.592 0.903 0.406
61 Te 0.594 0.408 0.097
62 Te 0.594 0.686 0.496
63 Te 0.597 0.189 0.504
64 Te 0.597 0.908 0.094
65 Te 0.686 0.496 0.594
66 Te 0.686 0.689 0.092
67 Te 0.689 0.092 0.686
68 Te 0.689 0.097 0.004
69 Te 0.811 0.496 0.403
70 Te 0.811 0.814 0.408
71 Te 0.814 0.408 0.811
72 Te 0.814 0.906 0.004
73 Te 0.903 0.406 0.592
74 Te 0.903 0.996 0.311
75 Te 0.906 0.004 0.814
76 Te 0.906 0.403 0.092
77 Te 0.908 0.094 0.597
78 Te 0.908 0.314 0.311
79 Te 0.996 0.186 0.094
80 Te 0.996 0.311 0.903

## Properties
Volume = 36.2 Å³/atom
Uncorrected formation energy = -0.3012 eV per atom

Record 7
# Cs3VTe

A geometry-optimized Cs3VTe structure (PBE, Alexandria via LeMat-Bulk).

Cell: 7.362 7.362 7.362 Å, 90.00 90.00 90.00°
Fractional coordinates of all 5 atoms:
1 Cs 0.000 0.000 0.500
2 Cs 0.000 0.500 0.000
3 Cs 0.500 0.000 0.000
4 V 0.500 0.500 0.500
5 Te 0.000 0.000 0.000

## Properties
Volume = 79.8 Å³/atom
Offset from the most stable computed form = 0.000 eV/atom
Uncorrected formation energy = 0.2940 eV per atom

Record 8
# Cs4VTe4

A geometry-optimized Cs4VTe4 structure (PBE, Alexandria via LeMat-Bulk).

Cell: 10.693 10.693 8.024 Å, 90.00 90.00 90.00°
Fractional coordinates of all 18 atoms:
1 Cs 0.026 0.250 0.090
2 Cs 0.250 0.026 0.590
3 Cs 0.250 0.474 0.590
4 Cs 0.474 0.250 0.090
5 Cs 0.526 0.750 0.910
6 Cs 0.750 0.526 0.410
7 Cs 0.750 0.974 0.410
8 Cs 0.974 0.750 0.910
9 V 0.250 0.750 0.250
10 V 0.750 0.250 0.750
11 Te 0.047 0.750 0.426
12 Te 0.250 0.547 0.074
13 Te 0.250 0.953 0.074
14 Te 0.453 0.750 0.426
15 Te 0.547 0.250 0.574
16 Te 0.750 0.047 0.926
17 Te 0.750 0.453 0.926
18 Te 0.953 0.250 0.574

## Properties
Volume = 51.0 Å³/atom
Uncorrected formation energy = -0.8562 eV per atom

Record 9
# Cs2VTe4

A geometry-optimized Cs2VTe4 structure (PBE, Alexandria via LeMat-Bulk).

Cell: 8.303 6.774 12.556 Å, 90.00 103.97 90.00°
Fractional coordinates of all 14 atoms:
1 Cs 0.194 0.250 0.047
2 Cs 0.268 0.250 0.539
3 Cs 0.732 0.750 0.461
4 Cs 0.806 0.750 0.953
5 V 0.228 0.750 0.784
6 V 0.772 0.250 0.216
7 Te 0.006 0.017 0.731
8 Te 0.006 0.483 0.731
9 Te 0.355 0.750 0.983
10 Te 0.443 0.750 0.676
11 Te 0.557 0.250 0.324
12 Te 0.645 0.250 0.017
13 Te 0.994 0.517 0.269
14 Te 0.994 0.983 0.269

## Properties
Volume = 49.0 Å³/atom
Uncorrected formation energy = -0.6006 eV per atom

Record 10
# CsTeW2

A geometry-optimized CsTeW2 structure (PBE, Alexandria via LeMat-Bulk).

Cell: 4.869 4.869 4.869 Å, 60.00 60.00 60.00°
Fractional coordinates of all 4 atoms:
1 Cs 0.000 0.000 0.000
2 Te 0.500 0.500 0.500
3 W 0.250 0.250 0.250
4 W 0.750 0.750 0.750

## Properties
Volume = 20.4 Å³/atom
Offset from the most stable computed form = 0.000 eV/atom
Uncorrected formation energy = 2.1193 eV per atom

Record 11
# CsTeW3

A geometry-optimized CsTeW3 structure (PBE, Alexandria via LeMat-Bulk).

Cell: 5.115 5.115 5.115 Å, 90.00 90.00 90.00°
Fractional coordinates of all 5 atoms:
1 Cs 0.000 0.000 0.000
2 Te 0.500 0.500 0.500
3 W 0.000 0.500 0.500
4 W 0.500 0.000 0.500
5 W 0.500 0.500 0.000

## Properties
Volume = 26.8 Å³/atom
Offset from the most stable computed form = 0.000 eV/atom
Uncorrected formation energy = 2.7557 eV per atom

Record 12
# CsTe4W

A geometry-optimized CsTe4W structure (PBE, Alexandria via LeMat-Bulk).

Cell: 9.552 9.552 6.300 Å, 100.37 100.37 114.86°
Fractional coordinates of all 12 atoms:
1 Cs 0.142 0.858 0.750
2 Cs 0.858 0.142 0.250
3 Te 0.221 0.331 0.876
4 Te 0.276 0.546 0.453
5 Te 0.331 0.221 0.376
6 Te 0.454 0.724 0.047
7 Te 0.546 0.276 0.953
8 Te 0.669 0.779 0.624
9 Te 0.724 0.454 0.547
10 Te 0.779 0.669 0.124
11 W 0.499 0.501 0.250
12 W 0.501 0.499 0.750

## Properties
Volume = 41.0 Å³/atom
Uncorrected formation energy = -0.2218 eV per atom